# Zr3BeAg | Alexandria | PBE | optimized geometry
# magnetization: 0.0 μB per cell
# energy above the most stable polymorph in this dataset: 463 kJ/mol of formula units
# ΔH_f (0 K): 1.2981 eV per atom
# VASP energy: -25.731 eV/cell
data_Zr3BeAg
_space_group_name_H-M_alt 'P m -3 m'
_space_group_IT_number 221
_space_group_name_Hall '-P 4 2 3'
_cell_length_a 5.109
_cell_length_b 5.109
_cell_length_c 5.109
_cell_angle_alpha 90.00
_cell_angle_beta 90.00
_cell_angle_gamma 90.00
loop_
_atom_site_label
_atom_site_type_symbol
_atom_site_fract_x
_atom_site_fract_y
_atom_site_fract_z
Zr1 Zr 0.000 0.000 0.500
Be1 Be 0.500 0.500 0.500
Ag1 Ag 0.000 0.000 0.000

# CsCaI3 | Alexandria | PBE | optimized geometry
# raw formation energy: -1310 meV/atom
# magnetization: 0.0 μB per cell
# VASP energy: -56.230 eV/cell
data_CsCaI3
_space_group_name_H-M_alt 'I -4 m 2'
_space_group_IT_number 119
_space_group_name_Hall 'I -4 -2'
_cell_length_a 7.569
_cell_length_b 7.569
_cell_length_c 19.264
_cell_angle_alpha 90.00
_cell_angle_beta 90.00
_cell_angle_gamma 90.00
loop_
_atom_site_label
_atom_site_type_symbol
_atom_site_fract_x
_atom_site_fract_y
_atom_site_fract_z
Cs1 Cs 0.000 0.000 0.117
Ca1 Ca 0.000 0.000 0.500
Ca2 Ca 0.000 0.500 0.250
I1 I 0.000 0.239 0.361
I2 I 0.000 0.500 0.551

# NaHoAg2Cl6 | Alexandria | PBE | optimized geometry
# raw formation energy: -1448 meV/atom
# magnetization: 0.0 μB per cell
# VASP energy: -37.161 eV/cell
data_NaHoAg2Cl6
_space_group_name_H-M_alt 'P 1'
_space_group_IT_number 1
_space_group_name_Hall 'P 1'
_cell_length_a 6.911
_cell_length_b 6.918
_cell_length_c 7.446
_cell_angle_alpha 90.02
_cell_angle_beta 117.62
_cell_angle_gamma 119.94
loop_
_atom_site_label
_atom_site_type_symbol
_atom_site_fract_x
_atom_site_fract_y
_atom_site_fract_z
Na1 Na 0.000 0.000 0.000
Ho1 Ho 0.991 0.496 0.486
Ag1 Ag 0.595 0.297 0.892
Ag2 Ag 0.602 0.802 0.403
Cl1 Cl 0.115 0.406 0.223
Cl2 Cl 0.120 0.238 0.711
Cl3 Cl 0.473 0.882 0.710
Cl4 Cl 0.515 0.109 0.224
Cl5 Cl 0.817 0.709 0.224
Cl6 Cl 0.830 0.592 0.711

# Cs8Au4Cl | Alexandria | PBE | optimized geometry
# raw formation energy: -496 meV/atom
# magnetization: 0.0 μB per cell
# VASP energy: -84.713 eV/cell
data_Cs8Au4Cl
_space_group_name_H-M_alt 'R -3 m'
_space_group_IT_number 166
_space_group_name_Hall '-R 3 2"'
_cell_length_a 10.4501
_cell_length_b 10.4501
_cell_length_c 25.3056
_cell_angle_alpha 90.00
_cell_angle_beta 90.00
_cell_angle_gamma 120.00
loop_
_atom_site_label
_atom_site_type_symbol
_atom_site_fract_x
_atom_site_fract_y
_atom_site_fract_z
Cs1 Cs 0.0000 0.0000 0.2475
Cs2 Cs 0.0136 0.5068 0.7523
Au1 Au 0.0000 0.0000 0.5000
Au2 Au 0.0000 0.5000 0.5000
Cl1 Cl 0.0000 0.0000 0.0000

# ReNiRu2 | Alexandria | PBE | optimized geometry
# magnetization: 0.0 μB per cell
# energy above the most stable polymorph in this dataset: 86 kJ/mol of formula units
# ΔH_f (0 K): 0.2822 eV per atom
# VASP energy: -35.652 eV/cell
data_ReNiRu2
_space_group_name_H-M_alt 'P 1 2/m 1'
_space_group_IT_number 10
_space_group_name_Hall '-P 2y'
_cell_length_a 2.642
_cell_length_b 4.372
_cell_length_c 4.772
_cell_angle_alpha 90.00
_cell_angle_beta 95.42
_cell_angle_gamma 90.00
loop_
_atom_site_label
_atom_site_type_symbol
_atom_site_fract_x
_atom_site_fract_y
_atom_site_fract_z
Re1 Re 0.000 0.000 0.000
Ni1 Ni 0.500 0.000 0.500
Ru1 Ru 0.286 0.500 0.731

# SnTe2Pt | Alexandria | PBE | optimized geometry
# raw formation energy: -94 meV/atom
# magnetization: 0.0 μB per cell
# VASP energy: -66.809 eV/cell
data_SnTe2Pt
_space_group_name_H-M_alt 'I -4 2 d'
_space_group_IT_number 122
_space_group_name_Hall 'I -4 2bw'
_cell_length_a 6.424
_cell_length_b 6.424
_cell_length_c 12.925
_cell_angle_alpha 90.00
_cell_angle_beta 90.00
_cell_angle_gamma 90.00
loop_
_atom_site_label
_atom_site_type_symbol
_atom_site_fract_x
_atom_site_fract_y
_atom_site_fract_z
Sn1 Sn 0.000 0.000 0.000
Te1 Te 0.203 0.250 0.625
Pt1 Pt 0.000 0.000 0.500